The following is a DFT calculation (PBE) of an optimized crystal structure of TcAu2Cl.

Geometry as POSCAR:
```
TcAu2Cl
1.0
8.898 -0.018 -0.011
8.382 2.986 -0.011
8.382 1.440 2.616
Tc Au Cl
1 2 1
Direct
0.750 0.750 0.750
0.002 0.002 0.002
0.498 0.498 0.498
0.250 0.250 0.250
```

The following is a DFT calculation (PBE) of an optimized crystal structure of TcAuCl2.

Geometry as POSCAR:
```
TcAuCl2
1.0
5.574 0.002 0.022
4.540 3.233 0.022
3.581 1.146 6.233
Cl Tc Au
2 1 1
Direct
0.052 0.052 0.862
0.167 0.167 0.326
0.501 0.501 0.585
0.780 0.780 0.727
```

The following is a DFT calculation (PBE) of an optimized crystal structure of TcAuCl2.

Geometry as POSCAR:
```
TcAuCl2
1.0
4.198 0.000 0.000
0.000 3.106 0.017
0.000 -0.150 5.587
Tc Cl Au
1 2 1
Direct
0.500 0.250 0.250
0.000 0.083 0.021
0.000 0.417 0.479
0.500 0.750 0.750
```

The following is a DFT calculation (PBE) of an optimized crystal structure of TcAuCl.

Geometry as POSCAR:
```
TcAuCl
1.0
6.829 -0.004 0.000
5.553 3.975 0.000
-6.191 -1.986 2.089
Au Tc Cl
1 1 1
Direct
0.033 0.033 0.000
0.682 0.682 0.000
0.284 0.284 0.000
```

The following is a DFT calculation (PBE) of an optimized crystal structure of TcAu2Cl.

Geometry as POSCAR:
```
TcAu2Cl
1.0
-0.179 2.999 -4.354
-3.570 1.134 0.928
1.460 2.970 1.986
Au Tc Cl
2 1 1
Direct
0.000 0.500 0.500
0.000 0.000 0.000
0.500 0.000 0.500
0.500 0.500 0.000
```

The following is a DFT calculation (PBE) of an optimized crystal structure of TcAuCl2.

Geometry as POSCAR:
```
TcAuCl2
1.0
3.877 0.000 0.000
0.000 4.508 0.000
0.000 0.000 4.508
Cl Au Tc
2 1 1
Direct
0.000 0.500 0.500
0.000 0.000 0.000
0.500 0.000 0.500
0.500 0.500 0.000
```

The following is a DFT calculation (PBE) of an optimized crystal structure of TcAuCl2.

Geometry as POSCAR:
```
TcAuCl2
1.0
-0.320 -4.544 2.178
4.253 -2.243 -1.540
-0.456 4.508 2.228
Tc Cl Au
1 2 1
Direct
0.250 0.750 0.500
0.500 0.500 0.000
0.000 0.000 0.000
0.750 0.250 0.500
```

The following is a DFT calculation (PBE) of an optimized crystal structure of TcAuCl.

Geometry as POSCAR:
```
TcAuCl
1.0
4.367 0.000 0.000
2.184 3.782 0.000
2.184 1.261 3.566
Au Cl Tc
1 1 1
Direct
0.000 0.000 0.000
0.500 0.500 0.500
0.750 0.750 0.750
```

The following uncorrected energy values (in eV/cell) correspond, in order, to the records above: -17.2, -16.6, -15.5, -14.2, -16.0, -14.7, -14.8, -13.0.